# Tb11Zn4Cd9 | the Alexandria database | PBE | optimized geometry
# Energy = -2.99 eV/atom
# Crystal system = orthorhombic
# DOS(E_F) = 51.1 states/eV/cell
data_Tb11Zn4Cd9
_cell_length_a 14.626
_cell_length_b 21.931
_cell_length_c 3.752
_cell_angle_alpha 90.00
_cell_angle_beta 90.00
_cell_angle_gamma 90.00
_symmetry_space_group_name_H-M 'C m m m'
_symmetry_Int_Tables_number 65
_symmetry_space_group_name_Hall '-C 2 2'
loop_
_atom_site_label
_atom_site_type_symbol
_atom_site_fract_x
_atom_site_fract_y
_atom_site_fract_z
Tb1 Tb 0.000 0.000 0.000
Tb2 Tb 0.000 0.163 0.000
Tb3 Tb 0.000 0.362 0.000
Tb4 Tb 0.210 0.500 0.000
Tb5 Tb 0.245 0.170 0.000
Zn1 Zn 0.145 0.404 0.500
Cd1 Cd 0.000 0.500 0.500
Cd2 Cd 0.107 0.261 0.500
Cd3 Cd 0.140 0.074 0.500